# 1
TmMg5Pd6 | PBE | relaxed

Output
- energy relative to the elements (eV/f.u.) = -9.2
- total energy (eV per cell) = -52.8
- D(E_F) (states/eV/f.u.) = 3.71
- crystal system = monoclinic

a = 4.568 Å, b = 6.540 Å, c = 7.302 Å
α = 90.00°, β = 110.83°, γ = 90.00°
Sites, in units of the cell vectors:
Pd  0.170  0.257  0.337
Pd  0.500  0.742  0.000
Pd  0.830  0.257  0.663
Pd  0.500  0.258  0.000
Pd  0.170  0.743  0.337
Pd  0.830  0.743  0.663
Mg  0.326  0.000  0.658
Mg  0.674  0.000  0.342
Mg  0.666  0.500  0.330
Mg  0.000  0.500  0.000
Mg  0.334  0.500  0.670
Tm  0.000  0.000  0.000

=====

# 2
TmMg4Pd15 | PBE | relaxed

Output
- energy relative to the elements (eV/f.u.) = -11.1
- total energy (eV per cell) = -99.9
- D(E_F) (states/eV/f.u.) = 23.62
- crystal system = tetragonal

a = 4.001 Å, b = 4.001 Å, c = 19.933 Å
α = 90.00°, β = 90.00°, γ = 90.00°
Sites, in units of the cell vectors:
Pd  0.500  0.000  0.697
Pd  0.500  0.500  0.598
Pd  0.000  0.500  0.895
Pd  0.500  0.000  0.303
Pd  0.500  0.000  0.895
Pd  0.500  0.500  0.796
Pd  0.500  0.500  0.000
Pd  0.000  0.500  0.697
Pd  0.500  0.500  0.402
Pd  0.000  0.500  0.500
Pd  0.000  0.500  0.105
Pd  0.500  0.500  0.204
Pd  0.000  0.500  0.303
Pd  0.500  0.000  0.500
Pd  0.500  0.000  0.105
Mg  0.000  0.000  0.599
Mg  0.000  0.000  0.795
Mg  0.000  0.000  0.401
Mg  0.000  0.000  0.205
Tm  0.000  0.000  0.000

=====

# 3
TmMg3Pd | PBE | relaxed

Output
- excess energy over the best structure of this formula in the dataset (eV per atom) = 0.0888
- energy relative to the elements (eV/f.u.) = -1.6
- total energy (eV per cell) = -16.0
- D(E_F) (states/eV/f.u.) = 2.73
- crystal system = orthorhombic

a = 4.624 Å, b = 4.667 Å, c = 5.893 Å
α = 113.33°, β = 90.00°, γ = 90.00°
Sites, in units of the cell vectors:
Mg  0.000  0.257  0.515
Mg  0.000  0.537  0.074
Mg  0.500  0.743  0.486
Tm  0.500  0.035  0.070
Pd  0.500  0.388  0.776